*P*
Computed, not measured: a geometry-optimized Li2TaNb structure at the PBE level of DFT.

Structure (CIF):
```
data_Li2TaNb
_space_group_name_H-M_alt 'I -4 2 d'
_space_group_IT_number 122
_space_group_name_Hall 'I -4 2bw'
_cell_length_a 7.261
_cell_length_b 7.261
_cell_length_c 5.040
_cell_angle_alpha 90.00
_cell_angle_beta 90.00
_cell_angle_gamma 90.00
loop_
_atom_site_label
_atom_site_fract_x
_atom_site_fract_y
_atom_site_fract_z
Li1 0.248 0.250 0.125
Ta1 0.000 0.000 0.500
Nb1 0.000 0.000 0.000
```

Properties
Density of states at the Fermi level = 0.723 states/eV/atom

=====

*Q*
Computed, not measured: a geometry-optimized Li2TaNb structure at the PBE level of DFT.

Structure (CIF):
```
data_Li2TaNb
_space_group_name_H-M_alt 'F m -3 m'
_space_group_IT_number 225
_space_group_name_Hall '-F 4 2 3'
_cell_length_a 6.243
_cell_length_b 6.243
_cell_length_c 6.243
_cell_angle_alpha 90.00
_cell_angle_beta 90.00
_cell_angle_gamma 90.00
loop_
_atom_site_label
_atom_site_fract_x
_atom_site_fract_y
_atom_site_fract_z
Li1 0.250 0.250 0.250
Ta1 0.000 0.000 0.000
Nb1 0.000 0.000 0.500
```

Properties
Density of states at the Fermi level = 0.564 states/eV/atom

=====

Which structure is most stable? *Q*, by 178 meV/atom over the runner-up.

=====

*P*
Computed, not measured: a geometry-optimized LiTa2Nb structure at the PBE level of DFT.

Structure (CIF):
```
data_LiTa2Nb
_space_group_name_H-M_alt 'I -4 2 d'
_space_group_IT_number 122
_space_group_name_Hall 'I -4 2bw'
_cell_length_a 7.227
_cell_length_b 7.227
_cell_length_c 5.421
_cell_angle_alpha 90.00
_cell_angle_beta 90.00
_cell_angle_gamma 90.00
loop_
_atom_site_label
_atom_site_fract_x
_atom_site_fract_y
_atom_site_fract_z
Li1 0.000 0.000 0.000
Ta1 0.231 0.250 0.125
Nb1 0.000 0.000 0.500
```

Properties
Density of states at the Fermi level = 1.031 states/eV/atom

=====

*Q*
Computed, not measured: a geometry-optimized LiTa2Nb structure at the PBE level of DFT.

Structure (CIF):
```
data_LiTa2Nb
_space_group_name_H-M_alt 'F m -3 m'
_space_group_IT_number 225
_space_group_name_Hall '-F 4 2 3'
_cell_length_a 6.509
_cell_length_b 6.509
_cell_length_c 6.509
_cell_angle_alpha 90.00
_cell_angle_beta 90.00
_cell_angle_gamma 90.00
loop_
_atom_site_label
_atom_site_fract_x
_atom_site_fract_y
_atom_site_fract_z
Li1 0.000 0.000 0.000
Ta1 0.250 0.250 0.250
Nb1 0.000 0.000 0.500
```

Properties
Density of states at the Fermi level = 1.030 states/eV/atom

=====

Which structure is most stable? *Q*, by 439 meV/atom over the runner-up.

=====

*P*
Computed, not measured: a geometry-optimized Li2NbTc structure at the PBE level of DFT.

Structure (CIF):
```
data_Li2NbTc
_space_group_name_H-M_alt 'F m -3 m'
_space_group_IT_number 225
_space_group_name_Hall '-F 4 2 3'
_cell_length_a 6.027
_cell_length_b 6.027
_cell_length_c 6.027
_cell_angle_alpha 90.00
_cell_angle_beta 90.00
_cell_angle_gamma 90.00
loop_
_atom_site_label
_atom_site_fract_x
_atom_site_fract_y
_atom_site_fract_z
Li1 0.250 0.250 0.250
Nb1 0.000 0.000 0.000
Tc1 0.000 0.000 0.500
```

Properties
Density of states at the Fermi level = 0.702 states/eV/atom

=====

*Q*
Computed, not measured: a geometry-optimized Li2NbTc structure at the PBE level of DFT.

Structure (CIF):
```
data_Li2NbTc
_space_group_name_H-M_alt 'I -4 2 d'
_space_group_IT_number 122
_space_group_name_Hall 'I -4 2bw'
_cell_length_a 7.088
_cell_length_b 7.088
_cell_length_c 4.880
_cell_angle_alpha 90.00
_cell_angle_beta 90.00
_cell_angle_gamma 90.00
loop_
_atom_site_label
_atom_site_fract_x
_atom_site_fract_y
_atom_site_fract_z
Li1 0.234 0.250 0.125
Nb1 0.000 0.000 0.500
Tc1 0.000 0.000 0.000
```

Properties
Density of states at the Fermi level = 0.762 states/eV/atom

=====

Which structure is most stable? *P*, by 106 meV/atom over the runner-up.

=====

*P*
Computed, not measured: a geometry-optimized LiNb3Te structure at the PBE level of DFT.

Structure (CIF):
```
data_LiNb3Te
_space_group_name_H-M_alt 'P m -3 m'
_space_group_IT_number 221
_space_group_name_Hall '-P 4 2 3'
_cell_length_a 4.499
_cell_length_b 4.499
_cell_length_c 4.499
_cell_angle_alpha 90.00
_cell_angle_beta 90.00
_cell_angle_gamma 90.00
loop_
_atom_site_label
_atom_site_fract_x
_atom_site_fract_y
_atom_site_fract_z
Li1 0.000 0.000 0.000
Nb1 0.000 0.000 0.500
Te1 0.500 0.500 0.500
```

Properties
Density of states at the Fermi level = 1.762 states/eV/atom

=====

*Q*
Computed, not measured: a geometry-optimized LiNb3Te structure at the PBE level of DFT.

Structure (CIF):
```
data_LiNb3Te
_space_group_name_H-M_alt 'P m -3 m'
_space_group_IT_number 221
_space_group_name_Hall '-P 4 2 3'
_cell_length_a 5.089
_cell_length_b 5.089
_cell_length_c 5.089
_cell_angle_alpha 90.00
_cell_angle_beta 90.00
_cell_angle_gamma 90.00
loop_
_atom_site_label
_atom_site_fract_x
_atom_site_fract_y
_atom_site_fract_z
Li1 0.000 0.000 0.000
Nb1 0.000 0.500 0.500
Te1 0.500 0.500 0.500
```

Properties
Density of states at the Fermi level = 1.783 states/eV/atom

=====

Which structure is most stable? *P*, by 484 meV/atom over the runner-up.

=====

*P*
Computed, not measured: a geometry-optimized LiTiNb structure at the PBE level of DFT.

Structure (CIF):
```
data_LiTiNb
_space_group_name_H-M_alt 'P -3 m 1'
_space_group_IT_number 164
_space_group_name_Hall '-P 3 2"'
_cell_length_a 4.5589
_cell_length_b 4.5589
_cell_length_c 5.8924
_cell_angle_alpha 90.00
_cell_angle_beta 90.00
_cell_angle_gamma 120.00
loop_
_atom_site_label
_atom_site_fract_x
_atom_site_fract_y
_atom_site_fract_z
Li1 0.3333 0.6667 0.4280
Ti1 0.0000 0.0000 0.2262
Nb1 0.3333 0.6667 0.9385
```

Properties
Density of states at the Fermi level = 1.080 states/eV/atom

=====

*Q*
Computed, not measured: a geometry-optimized LiTiNb structure at the PBE level of DFT.

Structure (CIF):
```
data_LiTiNb
_space_group_name_H-M_alt 'P 4/n m m'
_space_group_IT_number 129
_cell_length_a 3.271
_cell_length_b 3.271
_cell_length_c 10.162
_cell_angle_alpha 90.00
_cell_angle_beta 90.00
_cell_angle_gamma 90.00
loop_
_space_group_symop_operation_xyz
'x,y,z'
'-x,-y,-z'
'-y+1/2,x,z'
'y+1/2,-x,-z'
'-x+1/2,-y+1/2,z'
'x+1/2,y+1/2,-z'
'y,-x+1/2,z'
'-y,x+1/2,-z'
'x+1/2,-y,-z'
'-x+1/2,y,z'
'-y,-x,-z'
'y,x,z'
'-x,y+1/2,-z'
'x,-y+1/2,z'
'y+1/2,x+1/2,-z'
'-y+1/2,-x+1/2,z'
loop_
_atom_site_label
_atom_site_fract_x
_atom_site_fract_y
_atom_site_fract_z
Li1 0.250 0.250 0.079
Ti1 0.250 0.250 0.734
Nb1 0.250 0.250 0.419
```

Properties
Density of states at the Fermi level = 0.814 states/eV/atom

=====

Which structure is most stable? *Q*, by 132 meV/atom over the runner-up.

=====

*P*
Computed, not measured: a geometry-optimized LiTi3Nb structure at the PBE level of DFT.

Structure (CIF):
```
data_LiTi3Nb
_space_group_name_H-M_alt 'P m -3 m'
_space_group_IT_number 221
_space_group_name_Hall '-P 4 2 3'
_cell_length_a 4.413
_cell_length_b 4.413
_cell_length_c 4.413
_cell_angle_alpha 90.00
_cell_angle_beta 90.00
_cell_angle_gamma 90.00
loop_
_atom_site_label
_atom_site_fract_x
_atom_site_fract_y
_atom_site_fract_z
Li1 0.000 0.000 0.000
Ti1 0.000 0.000 0.500
Nb1 0.500 0.500 0.500
```

Properties
Density of states at the Fermi level = 1.486 states/eV/atom

=====

*Q*
Computed, not measured: a geometry-optimized LiTi3Nb structure at the PBE level of DFT.

Structure (CIF):
```
data_LiTi3Nb
_space_group_name_H-M_alt 'P m -3 m'
_space_group_IT_number 221
_space_group_name_Hall '-P 4 2 3'
_cell_length_a 4.864
_cell_length_b 4.864
_cell_length_c 4.864
_cell_angle_alpha 90.00
_cell_angle_beta 90.00
_cell_angle_gamma 90.00
loop_
_atom_site_label
_atom_site_fract_x
_atom_site_fract_y
_atom_site_fract_z
Li1 0.000 0.000 0.000
Ti1 0.000 0.500 0.500
Nb1 0.500 0.500 0.500
```

Properties
Density of states at the Fermi level = 1.538 states/eV/atom

=====

Which structure is most stable? *P*, by 63 meV/atom over the runner-up.

=====

*P*
Computed, not measured: a geometry-optimized LiNbV3 structure at the PBE level of DFT.

Structure (CIF):
```
data_LiNbV3
_space_group_name_H-M_alt 'P m -3 m'
_space_group_IT_number 221
_space_group_name_Hall '-P 4 2 3'
_cell_length_a 4.181
_cell_length_b 4.181
_cell_length_c 4.181
_cell_angle_alpha 90.00
_cell_angle_beta 90.00
_cell_angle_gamma 90.00
loop_
_atom_site_label
_atom_site_fract_x
_atom_site_fract_y
_atom_site_fract_z
Li1 0.000 0.000 0.000
Nb1 0.500 0.500 0.500
V1 0.000 0.000 0.500
```

Properties
Density of states at the Fermi level = 1.303 states/eV/atom

=====

*Q*
Computed, not measured: a geometry-optimized LiNbV3 structure at the PBE level of DFT.

Structure (CIF):
```
data_LiNbV3
_space_group_name_H-M_alt 'P m -3 m'
_space_group_IT_number 221
_space_group_name_Hall '-P 4 2 3'
_cell_length_a 4.689
_cell_length_b 4.689
_cell_length_c 4.689
_cell_angle_alpha 90.00
_cell_angle_beta 90.00
_cell_angle_gamma 90.00
loop_
_atom_site_label
_atom_site_fract_x
_atom_site_fract_y
_atom_site_fract_z
Li1 0.000 0.000 0.000
Nb1 0.500 0.500 0.500
V1 0.000 0.500 0.500
```

Properties
Density of states at the Fermi level = 1.195 states/eV/atom

=====

Which structure is most stable? *P*, by 324 meV/atom over the runner-up.

=====

*P*
Computed, not measured: a geometry-optimized Li2NbV structure at the PBE level of DFT.

Structure (CIF):
```
data_Li2NbV
_space_group_name_H-M_alt 'F m -3 m'
_space_group_IT_number 225
_space_group_name_Hall '-F 4 2 3'
_cell_length_a 6.128
_cell_length_b 6.128
_cell_length_c 6.128
_cell_angle_alpha 90.00
_cell_angle_beta 90.00
_cell_angle_gamma 90.00
loop_
_atom_site_label
_atom_site_fract_x
_atom_site_fract_y
_atom_site_fract_z
Li1 0.250 0.250 0.250
Nb1 0.000 0.000 0.000
V1 0.000 0.000 0.500
```

Properties
Density of states at the Fermi level = 0.873 states/eV/atom

=====

*Q*
Computed, not measured: a geometry-optimized Li2NbV structure at the PBE level of DFT.

Structure (CIF):
```
data_Li2NbV
_space_group_name_H-M_alt 'I -4 2 d'
_space_group_IT_number 122
_space_group_name_Hall 'I -4 2bw'
_cell_length_a 7.193
_cell_length_b 7.193
_cell_length_c 4.789
_cell_angle_alpha 90.00
_cell_angle_beta 90.00
_cell_angle_gamma 90.00
loop_
_atom_site_label
_atom_site_fract_x
_atom_site_fract_y
_atom_site_fract_z
Li1 0.235 0.750 0.125
Nb1 0.000 0.000 0.500
V1 0.000 0.000 0.000
```

Properties
Density of states at the Fermi level = 0.649 states/eV/atom

=====

Which structure is most stable? *P*, by 25 meV/atom over the runner-up.

=====

*P*
Computed, not measured: a geometry-optimized Li2NbW2 structure at the PBE level of DFT.

Structure (CIF):
```
data_Li2NbW2
_space_group_name_H-M_alt 'P 4/m b m'
_space_group_IT_number 127
_space_group_name_Hall '-P 4 2ab'
_cell_length_a 7.350
_cell_length_b 7.350
_cell_length_c 2.721
_cell_angle_alpha 90.00
_cell_angle_beta 90.00
_cell_angle_gamma 90.00
loop_
_atom_site_label
_atom_site_fract_x
_atom_site_fract_y
_atom_site_fract_z
Li1 0.109 0.391 0.000
Nb1 0.000 0.000 0.000
W1 0.186 0.686 0.500
```

Properties
Density of states at the Fermi level = 0.746 states/eV/atom

=====

*Q*
Computed, not measured: a geometry-optimized Li2NbW2 structure at the PBE level of DFT.

Structure (CIF):
```
data_Li2NbW2
_space_group_name_H-M_alt 'I 4/m m m'
_space_group_IT_number 139
_space_group_name_Hall '-I 4 2'
_cell_length_a 3.742
_cell_length_b 3.742
_cell_length_c 10.577
_cell_angle_alpha 90.00
_cell_angle_beta 90.00
_cell_angle_gamma 90.00
loop_
_atom_site_label
_atom_site_fract_x
_atom_site_fract_y
_atom_site_fract_z
Li1 0.000 0.000 0.087
Nb1 0.000 0.000 0.500
W1 0.000 0.500 0.250
```

Properties
Density of states at the Fermi level = 0.891 states/eV/atom

=====

Which structure is most stable? *P*, by 11 meV/atom over the runner-up.

=====

*P*
Computed, not measured: a geometry-optimized LiNb3W structure at the PBE level of DFT.

Structure (CIF):
```
data_LiNb3W
_space_group_name_H-M_alt 'P m -3 m'
_space_group_IT_number 221
_space_group_name_Hall '-P 4 2 3'
_cell_length_a 4.398
_cell_length_b 4.398
_cell_length_c 4.398
_cell_angle_alpha 90.00
_cell_angle_beta 90.00
_cell_angle_gamma 90.00
loop_
_atom_site_label
_atom_site_fract_x
_atom_site_fract_y
_atom_site_fract_z
Li1 0.000 0.000 0.000
Nb1 0.000 0.000 0.500
W1 0.500 0.500 0.500
```

Properties
Density of states at the Fermi level = 1.499 states/eV/atom

=====

*Q*
Computed, not measured: a geometry-optimized LiNb3W structure at the PBE level of DFT.

Structure (CIF):
```
data_LiNb3W
_space_group_name_H-M_alt 'P m -3 m'
_space_group_IT_number 221
_space_group_name_Hall '-P 4 2 3'
_cell_length_a 4.929
_cell_length_b 4.929
_cell_length_c 4.929
_cell_angle_alpha 90.00
_cell_angle_beta 90.00
_cell_angle_gamma 90.00
loop_
_atom_site_label
_atom_site_fract_x
_atom_site_fract_y
_atom_site_fract_z
Li1 0.000 0.000 0.000
Nb1 0.000 0.500 0.500
W1 0.500 0.500 0.500
```

Properties
Density of states at the Fermi level = 1.282 states/eV/atom

=====

Which structure is most stable? *P*, by 92 meV/atom over the runner-up.

=====

*P*
Computed, not measured: a geometry-optimized Li2NbW structure at the PBE level of DFT.

Structure (CIF):
```
data_Li2NbW
_space_group_name_H-M_alt 'I -4 2 d'
_space_group_IT_number 122
_space_group_name_Hall 'I -4 2bw'
_cell_length_a 7.100
_cell_length_b 7.100
_cell_length_c 4.983
_cell_angle_alpha 90.00
_cell_angle_beta 90.00
_cell_angle_gamma 90.00
loop_
_atom_site_label
_atom_site_fract_x
_atom_site_fract_y
_atom_site_fract_z
Li1 0.246 0.750 0.125
Nb1 0.000 0.000 0.500
W1 0.000 0.000 0.000
```

Properties
Density of states at the Fermi level = 0.625 states/eV/atom

=====

*Q*
Computed, not measured: a geometry-optimized Li2NbW structure at the PBE level of DFT.

Structure (CIF):
```
data_Li2NbW
_space_group_name_H-M_alt 'F m -3 m'
_space_group_IT_number 225
_space_group_name_Hall '-F 4 2 3'
_cell_length_a 6.113
_cell_length_b 6.113
_cell_length_c 6.113
_cell_angle_alpha 90.00
_cell_angle_beta 90.00
_cell_angle_gamma 90.00
loop_
_atom_site_label
_atom_site_fract_x
_atom_site_fract_y
_atom_site_fract_z
Li1 0.250 0.250 0.250
Nb1 0.000 0.000 0.000
W1 0.000 0.000 0.500
```

Properties
Density of states at the Fermi level = 1.006 states/eV/atom

=====

Which structure is most stable? *Q*, by 146 meV/atom over the runner-up.

=====

*P*
Computed, not measured: a geometry-optimized LiNbW3 structure at the PBE level of DFT.

Structure (CIF):
```
data_LiNbW3
_space_group_name_H-M_alt 'P m -3 m'
_space_group_IT_number 221
_space_group_name_Hall '-P 4 2 3'
_cell_length_a 4.295
_cell_length_b 4.295
_cell_length_c 4.295
_cell_angle_alpha 90.00
_cell_angle_beta 90.00
_cell_angle_gamma 90.00
loop_
_atom_site_label
_atom_site_fract_x
_atom_site_fract_y
_atom_site_fract_z
Li1 0.000 0.000 0.000
Nb1 0.500 0.500 0.500
W1 0.000 0.000 0.500
```

Properties
Density of states at the Fermi level = 1.086 states/eV/atom

=====

*Q*
Computed, not measured: a geometry-optimized LiNbW3 structure at the PBE level of DFT.

Structure (CIF):
```
data_LiNbW3
_space_group_name_H-M_alt 'P m -3 m'
_space_group_IT_number 221
_space_group_name_Hall '-P 4 2 3'
_cell_length_a 4.813
_cell_length_b 4.813
_cell_length_c 4.813
_cell_angle_alpha 90.00
_cell_angle_beta 90.00
_cell_angle_gamma 90.00
loop_
_atom_site_label
_atom_site_fract_x
_atom_site_fract_y
_atom_site_fract_z
Li1 0.000 0.000 0.000
Nb1 0.500 0.500 0.500
W1 0.000 0.500 0.500
```

Properties
Density of states at the Fermi level = 0.659 states/eV/atom

=====

Which structure is most stable? *P*, by 834 meV/atom over the runner-up.